Record 1
Density functional theory data (PBE-GGA) for a relaxed structure of Zn3Ga12Si5. Values from VASP.

Properties
Space-group type = No. 230
Magnetic moment = 0.00 μB per cell
Raw total energy = -256.0 eV for the cell shown

Geometry as Quantum ESPRESSO input:
```
&SYSTEM
  ibrav = 0, nat = 80, ntyp = 3
/
ATOMIC_SPECIES
Zn 65.41 Zn.upf
Ga 69.72 Ga.upf
Si 28.09 Si.upf
CELL_PARAMETERS angstrom
-3.2419 12.1930 -2.1596
-10.3573 -7.4346 -1.1386
4.7740 -1.1156 11.8240
ATOMIC_POSITIONS crystal
Zn 0.3750 0.6250 0.2500
Ga 0.7331 0.1236 0.0578
Ga 0.6236 0.0578 0.2331
Ga 0.0659 0.8905 0.1236
Ga 0.3247 0.5578 0.4341
Si 0.2500 0.8750 0.1250
Si 0.5000 0.0000 0.5000
Ga 0.1236 0.3905 0.0659
Ga 0.1236 0.7331 0.5578
Si 0.2500 0.3750 0.6250
Zn 0.3750 0.7500 0.6250
Ga 0.3764 0.9422 0.7669
Zn 0.6250 0.2500 0.3750
Ga 0.2331 0.5578 0.6236
Ga 0.9341 0.8247 0.5578
Si 0.6250 0.7500 0.8750
Ga 0.7669 0.4422 0.3764
Ga 0.9422 0.5659 0.1753
Ga 0.5578 0.3247 0.9341
Si 0.8750 0.6250 0.7500
Si 0.5000 0.5000 0.0000
Ga 0.4422 0.6753 0.0659
Ga 0.3247 0.7669 0.3905
Zn 0.2500 0.6250 0.8750
Si 0.8750 0.2500 0.6250
Zn 0.7500 0.8750 0.6250
Ga 0.1095 0.9341 0.3764
Ga 0.0578 0.4341 0.8247
Ga 0.8247 0.9341 0.0578
Ga 0.6753 0.2331 0.6095
Zn 0.2500 0.1250 0.3750
Si 0.5000 0.0000 0.0000
Ga 0.0578 0.6236 0.7331
Ga 0.3905 0.2669 0.3247
Ga 0.2331 0.6753 0.1095
Ga 0.8905 0.8247 0.7669
Ga 0.0659 0.1753 0.4422
Ga 0.1753 0.0659 0.9422
Ga 0.9422 0.3764 0.2669
Zn 0.8750 0.1250 0.2500
Ga 0.6753 0.4422 0.5659
Zn 0.1250 0.8750 0.7500
Ga 0.8247 0.8905 0.2669
Ga 0.6095 0.8764 0.4341
Si 0.1250 0.7500 0.3750
Zn 0.7500 0.3750 0.1250
Zn 0.1250 0.2500 0.8750
Ga 0.1095 0.1753 0.2331
Si 0.7500 0.6250 0.3750
Ga 0.7331 0.6095 0.1753
Ga 0.4341 0.0578 0.3247
Si 0.0000 0.0000 0.0000
Ga 0.4341 0.3764 0.6095
Ga 0.8764 0.2669 0.4422
Ga 0.9341 0.1095 0.8764
Ga 0.3905 0.1236 0.5659
Ga 0.4422 0.7669 0.8764
Si 0.3750 0.1250 0.7500
Ga 0.8764 0.6095 0.9341
Si 0.6250 0.8750 0.2500
Ga 0.2669 0.3905 0.8247
Zn 0.8750 0.7500 0.1250
Ga 0.6236 0.5659 0.8905
Si 0.1250 0.3750 0.2500
Si 0.0000 0.0000 0.5000
Si 0.0000 0.5000 0.0000
Ga 0.5659 0.9422 0.6753
Si 0.7500 0.1250 0.8750
Ga 0.2669 0.8764 0.9422
Ga 0.8905 0.0659 0.6236
Ga 0.5578 0.2331 0.1236
Si 0.0000 0.5000 0.5000
Zn 0.6250 0.3750 0.7500
Ga 0.3764 0.4341 0.1095
Si 0.5000 0.5000 0.5000
Si 0.3750 0.2500 0.1250
Ga 0.6095 0.7331 0.6753
Ga 0.7669 0.3247 0.8905
Ga 0.1753 0.1095 0.7331
Ga 0.5659 0.6236 0.3905
```

=====

Record 2
Density functional theory data (PBE-GGA) for a relaxed structure of LiCd2SbTe. Values from VASP.

Properties
Space-group type = No. 123
Magnetic moment = 0.00 μB per cell
Raw total energy = -10.0 eV for the cell shown

Geometry as Quantum ESPRESSO input:
```
&SYSTEM
  ibrav = 0, nat = 5, ntyp = 4
/
ATOMIC_SPECIES
Sb 121.76 Sb.upf
Te 127.60 Te.upf
Li 6.94 Li.upf
Cd 112.41 Cd.upf
CELL_PARAMETERS angstrom
-3.7445 1.9831 -2.6500
-0.3317 -4.3990 -2.8232
-3.2947 -1.8505 3.2706
ATOMIC_POSITIONS crystal
Sb 0.0000 0.5000 0.0000
Te 0.5000 0.5000 0.5000
Li 0.0000 0.0000 0.0000
Cd 0.5000 0.0000 0.0000
Cd 0.0000 0.0000 0.5000
```

=====

Record 3
Density functional theory data (PBE-GGA) for a relaxed structure of GdTmCdIn. Values from VASP.

Properties
Space-group type = No. 216
Magnetic moment = 7.67 μB per cell
Raw total energy = -23.8 eV for the cell shown

Geometry as Quantum ESPRESSO input:
```
&SYSTEM
  ibrav = 0, nat = 4, ntyp = 4
/
ATOMIC_SPECIES
Gd 157.25 Gd.upf
Cd 112.41 Cd.upf
In 114.82 In.upf
Tm 168.93 Tm.upf
CELL_PARAMETERS angstrom
-0.0468 -3.3257 4.1161
1.1028 -5.1246 -0.7262
4.5402 -2.0142 1.8261
ATOMIC_POSITIONS crystal
Gd 0.5000 0.5000 0.5000
Cd 0.7500 0.7500 0.7500
In 0.2500 0.2500 0.2500
Tm 0.0000 0.0000 0.0000
```

=====

Record 4
Density functional theory data (PBE-GGA) for a relaxed structure of YbCu4Au. Values from VASP.

Properties
Space-group type = No. 216
Magnetic moment = 0.10 μB per cell
Raw total energy = -22.8 eV for the cell shown

Geometry as Quantum ESPRESSO input:
```
&SYSTEM
  ibrav = 0, nat = 6, ntyp = 3
/
ATOMIC_SPECIES
Cu 63.55 Cu.upf
Yb 173.04 Yb.upf
Au 196.97 Au.upf
CELL_PARAMETERS angstrom
5.0603 0.0000 0.0000
2.5302 4.3824 0.0000
2.5302 1.4608 4.1317
ATOMIC_POSITIONS crystal
Cu 0.6244 0.6244 0.6244
Yb 0.0000 0.0000 0.0000
Au 0.2500 0.2500 0.2500
Cu 0.6244 0.6244 0.1267
Cu 0.6244 0.1267 0.6244
Cu 0.1267 0.6244 0.6244
```

=====

Record 5
Density functional theory data (PBE-GGA) for a relaxed structure of Al2CdIr. Values from VASP.

Properties
Space-group type = No. 8
Magnetic moment = 0.00 μB per cell
Raw total energy = -18.2 eV for the cell shown

Geometry as Quantum ESPRESSO input:
```
&SYSTEM
  ibrav = 0, nat = 4, ntyp = 3
/
ATOMIC_SPECIES
Cd 112.41 Cd.upf
Al 26.98 Al.upf
Ir 192.22 Ir.upf
CELL_PARAMETERS angstrom
4.9213 -0.0201 0.0250
4.0357 2.8164 0.0250
0.7690 0.2401 4.6320
ATOMIC_POSITIONS crystal
Cd 0.4945 0.4945 0.4853
Al 0.2561 0.2561 0.2508
Ir 0.7391 0.7391 0.7962
Al 0.0103 0.0103 0.9677
```

=====

Record 6
Density functional theory data (PBE-GGA) for a relaxed structure of In2NiMo. Values from VASP.

Properties
Space-group type = No. 216
Magnetic moment = 2.09 μB per cell
Energy above the most stable polymorph in this dataset = 0.319 eV per atom

Geometry as Quantum ESPRESSO input:
```
&SYSTEM
  ibrav = 0, nat = 4, ntyp = 3
/
ATOMIC_SPECIES
In 114.82 In.upf
Ni 58.69 Ni.upf
Mo 95.94 Mo.upf
CELL_PARAMETERS angstrom
4.6499 0.0000 0.0000
2.3250 4.0269 0.0000
2.3250 1.3423 3.7966
ATOMIC_POSITIONS crystal
In 0.2500 0.2500 0.2500
Ni 0.7500 0.7500 0.7500
Mo 0.5000 0.5000 0.5000
In 0.0000 0.0000 0.0000
```